No. 1
LiTlZnPt | Alexandria | PBE-GGA | optimized geometry; calculated formation energy = -1.28 eV/f.u.
1.0
0.000 3.234 3.234
3.234 0.000 3.234
3.234 3.234 0.000
Li Tl Zn Pt
1 1 1 1
Direct
0.000 0.000 0.000 Li
0.750 0.750 0.750 Tl
0.250 0.250 0.250 Zn
0.500 0.500 0.500 Pt

No. 2
SiHgSbI2 | Alexandria | PBE-GGA | optimized geometry; energy relative to the elements, uncorrected = 0.9017 eV per atom; relative energy among the computed polymorphs = 2.89 eV/f.u.
1.0
5.767 0.000 0.000
0.000 5.767 0.000
0.000 0.000 5.698
Si Hg Sb I
1 1 1 2
Direct
0.000 0.000 0.000 Si
0.500 0.500 0.500 Hg
0.500 0.500 0.000 Sb
0.000 0.500 0.500 I
0.500 0.000 0.500 I

No. 3
TmLuOs | Alexandria | PBE-GGA | optimized geometry; calculated formation energy = -0.86 eV/f.u.; relative energy among the computed polymorphs = 0.10 eV/f.u.
1.0
0.000 3.325 3.325
3.325 0.000 3.325
3.325 3.325 0.000
Tm Lu Os
1 1 1
Direct
0.000 0.000 0.000 Tm
0.500 0.500 0.500 Lu
0.750 0.750 0.750 Os

No. 4
CsPrMnTe3 | Alexandria | PBE-GGA | optimized geometry; energy relative to the elements, uncorrected = -0.8282 eV per atom
1.0
8.532 -2.600 0.000
8.532 2.600 0.000
-2.025 0.000 9.705
Cs Pr Mn Te
2 2 2 6
Direct
0.141 0.141 0.052 Cs
0.859 0.859 0.948 Cs
0.149 0.149 0.552 Pr
0.851 0.851 0.448 Pr
0.498 0.498 0.599 Mn
0.502 0.502 0.401 Mn
0.000 0.000 0.308 Te
0.000 0.000 0.692 Te
0.346 0.346 0.648 Te
0.353 0.353 0.249 Te
0.647 0.647 0.751 Te
0.654 0.654 0.352 Te

No. 5
La3InRu | Alexandria | PBE-GGA | optimized geometry; calculated formation energy = -0.95 eV/f.u.; relative energy among the computed polymorphs = 1.14 eV/f.u.
1.0
5.885 0.000 0.000
0.000 10.466 0.000
0.000 0.000 9.306
La In Ru
12 4 4
Direct
0.001 0.089 0.152 La
0.001 0.411 0.152 La
0.217 0.750 0.328 La
0.283 0.250 0.828 La
0.499 0.589 0.652 La
0.499 0.911 0.652 La
0.501 0.089 0.348 La
0.501 0.411 0.348 La
0.717 0.750 0.172 La
0.783 0.250 0.672 La
0.999 0.589 0.848 La
0.999 0.911 0.848 La
0.000 0.000 0.500 In
0.000 0.500 0.500 In
0.500 0.000 0.000 In
0.500 0.500 0.000 In
0.216 0.250 0.479 Ru
0.284 0.750 0.979 Ru
0.716 0.250 0.021 Ru
0.784 0.750 0.521 Ru

No. 6
Tm12CoAg6 | Alexandria | PBE-GGA | optimized geometry; calculated formation energy = -2.23 eV/f.u.
1.0
5.782 3.338 4.301
-5.782 3.338 4.301
0.000 -6.676 4.301
Tm Co Ag
12 1 6
Direct
0.042 0.699 0.928 Tm
0.072 0.958 0.301 Tm
0.190 0.536 0.408 Tm
0.301 0.072 0.958 Tm
0.408 0.190 0.536 Tm
0.464 0.592 0.810 Tm
0.536 0.408 0.190 Tm
0.592 0.810 0.464 Tm
0.699 0.928 0.042 Tm
0.810 0.464 0.592 Tm
0.928 0.042 0.699 Tm
0.958 0.301 0.072 Tm
0.500 0.500 0.500 Co
0.150 0.363 0.759 Ag
0.241 0.850 0.637 Ag
0.363 0.759 0.150 Ag
0.637 0.241 0.850 Ag
0.759 0.150 0.363 Ag
0.850 0.637 0.241 Ag

No. 7
BaTiGaF2 | Alexandria | PBE-GGA | optimized geometry; energy relative to the elements, uncorrected = -0.4177 eV per atom
1.0
4.583 0.000 0.000
0.000 4.583 0.000
0.000 0.000 6.507
Ba Ti Ga F
1 1 1 2
Direct
0.000 0.000 0.000 Ba
0.500 0.500 0.000 Ti
0.000 0.000 0.500 Ga
0.000 0.500 0.500 F
0.500 0.000 0.500 F

No. 8
NpBiTe | Alexandria | PBE-GGA | optimized geometry; energy relative to the elements, uncorrected = -0.0745 eV per atom
1.0
6.119 0.000 0.000
0.000 8.174 0.000
0.000 0.000 5.018
Np Bi Te
2 2 2
Direct
0.000 0.078 0.000 Np
0.000 0.922 0.500 Np
0.500 0.111 0.774 Bi
0.500 0.889 0.274 Bi
0.000 0.295 0.483 Te
0.000 0.705 0.983 Te

Spin magnetization (computed, μB per formula unit): 0.000 0.000 0.000 0.983 0.000 0.000 3.203 3.849